1.
Entry from Alexandria via LeMat-Bulk: a relaxed Tb2Y4Sc3 crystal (PBE). Values from VASP.

total energy = -0.4337 Ry/atom
magnetic moment = 0.000 Bohr magnetons per cell
formation enthalpy at 0 K = 0.111 eV per atom
density of states at the Fermi level = 13.4 states/eV/f.u.

Quantum ESPRESSO input file:
```
&SYSTEM
  ibrav = 0, nat = 18, ntyp = 3
/
ATOMIC_SPECIES
Sc 44.96 Sc.upf
Y 88.91 Y.upf
Tb 158.93 Tb.upf
CELL_PARAMETERS angstrom
6.036 -0.001 0.366
0.470 9.026 3.305
0.086 -0.365 9.616
ATOMIC_POSITIONS crystal
Sc 0.083 0.933 0.734
Sc 0.250 0.403 0.597
Sc 0.750 0.597 0.403
Y 0.491 0.907 0.191
Sc 0.583 0.734 0.933
Y 0.657 0.854 0.575
Tb 0.675 0.474 0.761
Y 0.843 0.425 0.146
Sc 0.917 0.067 0.266
Tb 0.825 0.239 0.526
Tb 0.325 0.526 0.239
Tb 0.175 0.761 0.474
Y 0.991 0.191 0.907
Y 0.009 0.809 0.093
Y 0.343 0.146 0.425
Sc 0.417 0.266 0.067
Y 0.157 0.575 0.854
Y 0.509 0.093 0.809
```


2.
Entry from Alexandria via LeMat-Bulk: a relaxed MgMn2Se crystal (PBE). Values from VASP.

formation energy from raw total energies = 1.986 eV/f.u.
total energy = -0.3938 Ry/atom
magnetic moment = 2.462 Bohr magnetons per cell
density of states at the Fermi level = 5.1 states/eV/f.u.
distance to the lowest polymorph of the same formula = 0.476 eV per atom

Quantum ESPRESSO input file:
```
&SYSTEM
  ibrav = 0, nat = 4, ntyp = 3
/
ATOMIC_SPECIES
Se 78.96 Se.upf
Mn 54.94 Mn.upf
Mg 24.30 Mg.upf
CELL_PARAMETERS angstrom
0.000 2.999 2.999
2.999 0.000 2.999
2.999 2.999 0.000
ATOMIC_POSITIONS crystal
Se 0.500 0.500 0.500
Mn 0.250 0.250 0.250
Mg 0.000 0.000 0.000
Mn 0.750 0.750 0.750
```